Material: NaTl3B
Method: DFT, GGA-PBE
State: relaxed

Properties
Magnetization in μB/atom: 0.000
Calculated volume in Å³/atom: 26.48

Lattice parameters (Å, degrees): 5.0970 5.0970 5.0970 90.00 90.00 90.00
Closest atoms and distances in Å follow each position.
Space group Pm-3m (No. 221)
Asymmetric unit:
Na1 0.0000 0.0000 0.0000  12 Tl 3.60
Tl1 0.0000 0.5000 0.5000  2 B 2.55
B1 0.5000 0.5000 0.5000  6 Tl 2.55

---

Material: Na2TlB2
Method: DFT, GGA-PBE
State: relaxed

Properties
Magnetization in μB/atom: 0.194
Calculated volume in Å³/atom: 27.96

Lattice parameters (Å, degrees): 5.8366 5.8366 4.1040 90.00 90.00 90.00
Closest atoms and distances in Å follow each position.
Space group P4/mmm (No. 123)
Asymmetric unit:
Na1 0.0000 0.5000 0.0000  2 Tl 2.92
Tl1 0.0000 0.0000 0.0000  2 B 2.05
B1 0.0000 0.0000 0.5000  2 Tl 2.05
B2 0.5000 0.5000 0.5000  8 Na 3.57

---

no.,calculated formation energy (eV per formula unit)
1,2.652
2,7.772